Below is a geometry-optimized USeCl2O6 structure, with properties calculated at the PBE level.

The space group is C2/m (No. 12) and the conventional cell measures 7.772, 9.011 and 4.826 Å, with angles of 90.00, 110.79 and 90.00 degrees. The inequivalent atoms are U at (0.000, 0.000, 0.000), Se at (0.000, 0.500, 0.000), Cl at (0.000, 0.190, 0.500), O at (0.000, 0.223, 0.000), O at (0.116, 0.500, 0.355) and O at (0.233, 0.500, 0.932).

For the formation energy without anion corrections, the calculation gives -0.906 eV/atom. The density is 5.09 g cm⁻³.